The following is a DFT calculation (PBE) of an optimized crystal structure of Na2CuTe2S6.

Geometry as POSCAR:
```
Na2CuTe2S6
1.0
3.271 -5.787 0.000
3.271 5.787 0.000
-2.325 0.000 6.872
Na Cu Te S
2 1 2 6
direct
0.164 0.836 0.000
0.836 0.164 0.000
0.000 0.000 0.500
0.330 0.670 0.500
0.670 0.330 0.500
0.071 0.410 0.719
0.217 0.217 0.303
0.410 0.071 0.719
0.590 0.929 0.281
0.783 0.783 0.697
0.929 0.590 0.281
```

Output
* formation energy (no corrections): -3.17 eV per formula unit
* calculated density: 3.556 Mg/m³
* space-group type: C2/m, No. 12
* density of states at the Fermi level: 5.3 states/eV/f.u.


The following is a DFT calculation (PBE) of an optimized crystal structure of NaCuTeS.

Geometry as POSCAR:
```
NaCuTeS
1.0
14.856 0.000 0.000
0.000 3.206 0.000
-0.009 0.000 3.980
Na Cu Te S
2 2 2 2
direct
0.000 0.000 0.000
0.500 0.500 0.000
0.186 0.000 0.503
0.686 0.500 0.503
0.303 0.000 0.003
0.803 0.500 0.003
0.081 0.500 0.501
0.581 0.000 0.501
```

Output
* formation energy (no corrections): -1.56 eV per formula unit
* calculated density: 4.314 Mg/m³
* space-group type: Cm, No. 8
* density of states at the Fermi level: 2.3 states/eV/f.u.


The following is a DFT calculation (PBE) of an optimized crystal structure of Na3CuTe2S6.

Geometry as POSCAR:
```
Na3CuTe2S6
1.0
3.370 -5.778 0.000
3.370 5.778 0.000
-2.304 0.000 6.669
Na Cu Te S
3 1 2 6
direct
0.000 0.000 0.000
0.327 0.673 0.000
0.673 0.327 0.000
0.500 0.500 0.500
0.166 0.834 0.500
0.834 0.166 0.500
0.107 0.428 0.287
0.239 0.239 0.729
0.428 0.107 0.287
0.572 0.893 0.713
0.761 0.761 0.271
0.893 0.572 0.713
```

Output
* formation energy (no corrections): -5.05 eV per formula unit
* calculated density: 3.708 Mg/m³
* space-group type: C2/m, No. 12
* density of states at the Fermi level: 2.1 states/eV/f.u.